## i
## AgIr2 (PBE)

Data for a geometry-optimized AgIr2 structure.

```
AgIr2
1.0
0.0000 5.7393 5.7393
5.7393 0.0000 5.7393
5.7393 5.7393 0.0000
Ag Ir
2 4
Direct
0.1250 0.1250 0.1250
0.8750 0.8750 0.8750
0.0000 0.0000 0.0000
0.0000 0.0000 0.5000
0.0000 0.5000 0.0000
0.5000 0.0000 0.0000
```

Summary:
space group	Fd-3m



## ii
## AgIr2 (PBE)

Data for a geometry-optimized AgIr2 structure.

```
AgIr2
1.0
0.0000 3.6918 3.6918
3.6918 0.0000 3.6918
3.6918 3.6918 0.0000
Ag Ir
2 4
Direct
0.1250 0.1250 0.1250
0.8750 0.8750 0.8750
0.0000 0.5000 0.5000
0.5000 0.0000 0.5000
0.5000 0.5000 0.0000
0.5000 0.5000 0.5000
```

Summary:
space group	Fd-3m



## iii
## AgIr2 (PBE)

Data for a geometry-optimized AgIr2 structure.

```
AgIr2
1.0
0.0000 3.0014 3.0014
3.0014 0.0000 3.0014
3.0014 3.0014 0.0000
Ag Ir
1 2
Direct
0.0000 0.0000 0.0000
0.2500 0.2500 0.2500
0.7500 0.7500 0.7500
```

Summary:
space group	Fm-3m



Stability summary - winner: ii; margin: 81.0 kJ/mol of atoms.



## i
## Mg2AgIr (PBE)

Data for a geometry-optimized Mg2AgIr structure.

```
Mg2AgIr
1.0
3.0517 -3.3905 0.0000
3.0517 3.3905 0.0000
0.0000 0.0000 3.1536
Mg Ag Ir
2 1 1
Direct
0.0000 0.5000 0.0000
0.5000 0.0000 0.0000
0.0000 0.0000 0.5000
0.5000 0.5000 0.5000
```

Summary:
space group	Cmmm



## ii
## Mg2AgIr (PBE)

Data for a geometry-optimized Mg2AgIr structure.

```
Mg2AgIr
1.0
3.1800 0.0000 0.0000
0.0000 3.1800 0.0000
0.0000 0.0000 6.5910
Mg Ag Ir
2 1 1
Direct
0.0000 0.0000 0.2237
0.0000 0.0000 0.7763
0.5000 0.5000 0.5000
0.5000 0.5000 0.0000
```

Summary:
space group	P4/mmm



Stability summary - winner: ii; margin: 1.5 kJ/mol of atoms.



## i
## NaReAgIr (PBE)

Data for a geometry-optimized NaReAgIr structure.

```
NaReAgIr
1.0
0.0000 3.1529 3.1529
3.1529 0.0000 3.1529
3.1529 3.1529 0.0000
Na Re Ag Ir
1 1 1 1
Direct
0.0000 0.0000 0.0000
0.2500 0.2500 0.2500
0.7500 0.7500 0.7500
0.5000 0.5000 0.5000
```

Summary:
space group	F-43m



## ii
## NaReAgIr (PBE)

Data for a geometry-optimized NaReAgIr structure.

```
NaReAgIr
1.0
0.0000 3.1679 3.1679
3.1679 0.0000 3.1679
3.1679 3.1679 0.0000
Na Re Ag Ir
1 1 1 1
Direct
0.0000 0.0000 0.0000
0.5000 0.5000 0.5000
0.2500 0.2500 0.2500
0.7500 0.7500 0.7500
```

Summary:
space group	F-43m



Stability summary - winner: i; margin: 1.9 kJ/mol of atoms.



## i
## NaTcAgIr (PBE)

Data for a geometry-optimized NaTcAgIr structure.

```
NaTcAgIr
1.0
0.0000 3.1750 3.1750
3.1750 0.0000 3.1750
3.1750 3.1750 0.0000
Na Tc Ag Ir
1 1 1 1
Direct
0.0000 0.0000 0.0000
0.5000 0.5000 0.5000
0.2500 0.2500 0.2500
0.7500 0.7500 0.7500
```

Summary:
space group	F-43m



## ii
## NaTcAgIr (PBE)

Data for a geometry-optimized NaTcAgIr structure.

```
NaTcAgIr
1.0
0.0000 3.1614 3.1614
3.1614 0.0000 3.1614
3.1614 3.1614 0.0000
Na Tc Ag Ir
1 1 1 1
Direct
0.0000 0.0000 0.0000
0.2500 0.2500 0.2500
0.7500 0.7500 0.7500
0.5000 0.5000 0.5000
```

Summary:
space group	F-43m



Stability summary - winner: ii; margin: 3.3 kJ/mol of atoms.



## i
## NbAgIr (PBE)

Data for a geometry-optimized NbAgIr structure.

```
NbAgIr
1.0
0.0000 3.0871 3.0871
3.0871 0.0000 3.0871
3.0871 3.0871 0.0000
Nb Ag Ir
1 1 1
Direct
0.0000 0.0000 0.0000
0.7500 0.7500 0.7500
0.2500 0.2500 0.2500
```

Summary:
space group	F-43m



## ii
## NbAgIr (PBE)

Data for a geometry-optimized NbAgIr structure.

```
NbAgIr
1.0
0.0000 3.0874 3.0874
3.0874 0.0000 3.0874
3.0874 3.0874 0.0000
Nb Ag Ir
1 1 1
Direct
0.0000 0.0000 0.0000
0.5000 0.5000 0.5000
0.7500 0.7500 0.7500
```

Summary:
space group	F-43m



Stability summary - winner: ii; margin: 15.8 kJ/mol of atoms.



## i
## Ag2Ir2O5 (PBE)

Data for a geometry-optimized Ag2Ir2O5 structure.

```
Ag2Ir2O5
1.0
3.2908 0.0000 0.0000
0.0000 3.2908 0.0000
0.0000 0.0000 10.2030
Ag Ir O
2 2 5
Direct
0.0000 0.0000 0.2187
0.0000 0.0000 0.7813
0.5000 0.5000 0.0000
0.5000 0.5000 0.5000
0.0000 0.0000 0.0000
0.0000 0.5000 0.3846
0.0000 0.5000 0.6154
0.5000 0.0000 0.3846
0.5000 0.0000 0.6154
```

Summary:
space group	P4/mmm



## ii
## Ag2Ir2O5 (PBE)

Data for a geometry-optimized Ag2Ir2O5 structure.

```
Ag2Ir2O5
1.0
3.8110 0.0000 0.0000
0.0000 3.8110 0.0000
0.0000 0.0000 8.0752
Ag Ir O
2 2 5
Direct
0.0000 0.0000 0.0000
0.0000 0.0000 0.5000
0.5000 0.5000 0.2344
0.5000 0.5000 0.7656
0.0000 0.5000 0.2158
0.0000 0.5000 0.7842
0.5000 0.0000 0.2158
0.5000 0.0000 0.7842
0.5000 0.5000 0.5000
```

Summary:
space group	P4/mmm



Stability summary - winner: ii; margin: 30.0 kJ/mol of atoms.



## i
## AgPIrO (PBE)

Data for a geometry-optimized AgPIrO structure.

```
AgPIrO
1.0
4.0308 0.0000 0.0000
0.0000 4.0308 0.0000
0.0000 0.0000 7.8923
Ag P Ir O
2 2 2 2
Direct
0.2500 0.2500 0.0921
0.7500 0.7500 0.9079
0.2500 0.2500 0.6588
0.7500 0.7500 0.3412
0.2500 0.7500 0.5000
0.7500 0.2500 0.5000
0.2500 0.7500 0.0000
0.7500 0.2500 0.0000
```

Summary:
space group	P4/nmm



## ii
## AgPIrO (PBE)

Data for a geometry-optimized AgPIrO structure.

```
AgPIrO
1.0
3.5677 0.0000 0.0000
0.0000 3.5677 0.0000
0.0000 0.0000 8.8515
Ag P Ir O
2 2 2 2
Direct
0.2500 0.7500 0.0000
0.7500 0.2500 0.0000
0.2500 0.2500 0.2424
0.7500 0.7500 0.7576
0.2500 0.2500 0.6454
0.7500 0.7500 0.3546
0.2500 0.7500 0.5000
0.7500 0.2500 0.5000
```

Summary:
space group	P4/nmm



Stability summary - winner: i; margin: 50.7 kJ/mol of atoms.



## i
## AgTeIrO (PBE)

Data for a geometry-optimized AgTeIrO structure.

```
AgTeIrO
1.0
3.9062 0.0000 0.0000
0.0000 6.8851 0.0000
0.0000 0.0000 5.5215
Ag Te Ir O
2 2 2 2
Direct
0.0000 0.0817 0.0000
0.0000 0.9183 0.5000
0.0000 0.3139 0.5049
0.0000 0.6861 0.0049
0.5000 0.4993 0.2554
0.5000 0.5007 0.7554
0.5000 0.2752 0.0044
0.5000 0.7248 0.5044
```

Summary:
space group	Pmc2_1



## ii
## AgTeIrO (PBE)

Data for a geometry-optimized AgTeIrO structure.

```
AgTeIrO
1.0
3.7327 0.0000 0.0000
0.0000 3.7327 0.0000
0.0000 0.0000 9.7552
Ag Te Ir O
2 2 2 2
Direct
0.2500 0.7500 0.0000
0.7500 0.2500 0.0000
0.2500 0.2500 0.2513
0.7500 0.7500 0.7487
0.2500 0.2500 0.6243
0.7500 0.7500 0.3757
0.2500 0.7500 0.5000
0.7500 0.2500 0.5000
```

Summary:
space group	P4/nmm



Stability summary - winner: i; margin: 44.4 kJ/mol of atoms.



## i
## PaAgIr (PBE)

Data for a geometry-optimized PaAgIr structure.

```
PaAgIr
1.0
0.0000 3.3026 3.3026
3.3026 0.0000 3.3026
3.3026 3.3026 0.0000
Pa Ag Ir
1 1 1
Direct
0.0000 0.0000 0.0000
0.7500 0.7500 0.7500
0.2500 0.2500 0.2500
```

Summary:
space group	F-43m



## ii
## PaAgIr (PBE)

Data for a geometry-optimized PaAgIr structure.

```
PaAgIr
1.0
0.0000 3.2616 3.2616
3.2616 0.0000 3.2616
3.2616 3.2616 0.0000
Pa Ag Ir
1 1 1
Direct
0.0000 0.0000 0.0000
0.5000 0.5000 0.5000
0.7500 0.7500 0.7500
```

Summary:
space group	F-43m



Stability summary - winner: ii; margin: 36.6 kJ/mol of atoms.



## i
## PrAgIr (PBE)

Data for a geometry-optimized PrAgIr structure.

```
PrAgIr
1.0
0.0000 3.3437 3.3437
3.3437 0.0000 3.3437
3.3437 3.3437 0.0000
Pr Ag Ir
1 1 1
Direct
0.0000 0.0000 0.0000
0.5000 0.5000 0.5000
0.7500 0.7500 0.7500
```

Summary:
space group	F-43m



## ii
## PrAgIr (PBE)

Data for a geometry-optimized PrAgIr structure.

```
PrAgIr
1.0
0.0000 3.3893 3.3893
3.3893 0.0000 3.3893
3.3893 3.3893 0.0000
Pr Ag Ir
1 1 1
Direct
0.0000 0.0000 0.0000
0.7500 0.7500 0.7500
0.2500 0.2500 0.2500
```

Summary:
space group	F-43m



Stability summary - winner: i; margin: 43.8 kJ/mol of atoms.



## i
## SmAgIr (PBE)

Data for a geometry-optimized SmAgIr structure.

```
SmAgIr
1.0
0.0000 3.3298 3.3298
3.3298 0.0000 3.3298
3.3298 3.3298 0.0000
Sm Ag Ir
1 1 1
Direct
0.0000 0.0000 0.0000
0.7500 0.7500 0.7500
0.2500 0.2500 0.2500
```

Summary:
space group	F-43m



## ii
## SmAgIr (PBE)

Data for a geometry-optimized SmAgIr structure.

```
SmAgIr
1.0
0.0000 3.3006 3.3006
3.3006 0.0000 3.3006
3.3006 3.3006 0.0000
Sm Ag Ir
1 1 1
Direct
0.0000 0.0000 0.0000
0.5000 0.5000 0.5000
0.7500 0.7500 0.7500
```

Summary:
space group	F-43m



Stability summary - winner: ii; margin: 39.7 kJ/mol of atoms.



## i
## UAgIr (PBE)

Data for a geometry-optimized UAgIr structure.

```
UAgIr
1.0
0.0000 3.2458 3.2458
3.2458 0.0000 3.2458
3.2458 3.2458 0.0000
U Ag Ir
1 1 1
Direct
0.0000 0.0000 0.0000
0.5000 0.5000 0.5000
0.7500 0.7500 0.7500
```

Summary:
space group	F-43m



## ii
## UAgIr (PBE)

Data for a geometry-optimized UAgIr structure.

```
UAgIr
1.0
0.0000 3.2597 3.2597
3.2597 0.0000 3.2597
3.2597 3.2597 0.0000
U Ag Ir
1 1 1
Direct
0.0000 0.0000 0.0000
0.2500 0.2500 0.2500
0.7500 0.7500 0.7500
```

Summary:
space group	F-43m



Stability summary - winner: i; margin: 32.6 kJ/mol of atoms.